1.
VASP calculation (PBE-GGA) on crystalline TbMg2Ga9 at its relaxed geometry.

The calculation puts the total energy at -3.16 eV per atom. As for the magnetic moment: 0.00 μB/cell. The formation energy is -0.24 eV/atom.

Geometry as POSCAR:
```
TbMg2Ga9
1.0
4.2368 0.0000 0.0000
0.0000 4.2368 0.0000
0.0000 0.0000 12.6162
Ga Tb Mg
9 1 2
Direct
0.5000 0.5000 0.6670
0.5000 0.0000 0.8239
0.5000 0.0000 0.5000
0.0000 0.5000 0.1761
0.5000 0.5000 0.0000
0.0000 0.5000 0.8239
0.0000 0.5000 0.5000
0.5000 0.5000 0.3330
0.5000 0.0000 0.1761
0.0000 0.0000 0.0000
0.0000 0.0000 0.6640
0.0000 0.0000 0.3360
```



2.
VASP calculation (PBE-GGA) on crystalline TbC2N3 at its relaxed geometry.

The calculation puts the total energy at -7.94 eV per atom. As for the magnetic moment: 0.00 μB/cell. The value obtained for the energy relative to the elements, uncorrected is 0.070 eV per atom.

Geometry as POSCAR:
```
TbC2N3
1.0
-0.5050 2.4476 -2.9920
-1.3196 -4.3139 -3.3062
-2.6644 2.5177 2.5092
N C Tb
3 2 1
Direct
0.9211 0.7190 0.9380
0.3417 0.0000 0.5000
0.9211 0.2810 0.0620
0.1742 0.8248 0.1497
0.1742 0.1752 0.8503
0.4677 0.5000 0.5000
```



3.
VASP calculation (PBE-GGA) on crystalline K2AuBr2 at its relaxed geometry.

The calculation puts the total energy at -2.50 eV per atom. As for the magnetic moment: 0.72 μB/cell. The value obtained for the energy relative to the elements, uncorrected is -0.732 eV per atom.

Geometry as POSCAR:
```
K2AuBr2
1.0
1.3396 -1.6457 6.7067
-2.4905 5.5983 3.4554
-3.3675 -3.9219 -4.7709
Br K Au
2 2 1
Direct
0.7500 0.2500 0.5000
0.2500 0.7500 0.5000
0.3108 0.3108 0.0000
0.6892 0.6892 0.0000
0.0000 0.0000 0.0000
```



The lowest total energy belongs to which entry?
TbC2N3